# 1
BaSmNO, optimized geometry, DFT PBE; spin magnetization = 0.002 μB per cell; electronic total energy = -0.2530 hartree per atom; excess energy over the best structure of this formula in the dataset = 0 meV per atom
1.0
-3.2875 -3.8397 3.0747
-1.2483 -3.7267 -5.9886
6.8592 -4.6836 1.4849
Ba N O Sm
4 4 4 4
Cartesian
1.7112 -3.9059 -2.8929
-0.3577 -7.0951 -3.3952
4.2352 -3.3398 0.5127
2.1663 -6.5290 0.0104
-1.4767 -3.2172 1.4422
-0.2043 -2.4059 -1.8766
3.3939 -8.8325 -0.3626
4.6663 -8.0212 -3.6814
-0.1255 -5.8812 -1.0909
1.0378 -5.3959 -4.9334
2.5278 -5.4034 2.3427
3.6910 -4.9180 -1.4998
0.6298 -0.8835 -0.3227
-1.4221 -4.0220 -0.7435
5.3273 -6.3806 -2.1650
3.2754 -9.5190 -2.5858

---

# 2
BaSmNO, optimized geometry, DFT PBE; spin magnetization = 0.002 μB per cell; electronic total energy = -0.2509 hartree per atom; excess energy over the best structure of this formula in the dataset = 57 meV per atom
1.0
-2.6557 2.9488 -1.0102
-3.6241 -1.6600 4.6818
3.4734 4.6090 4.3229
Ba N O Sm
2 2 2 2
Cartesian
-4.2863 0.6517 4.8710
-0.2263 4.4646 5.3277
-1.8276 0.2684 5.5882
0.9132 2.3308 4.4031
-2.1873 1.6691 2.3228
-1.8802 3.6510 7.3011
-0.5867 0.7621 3.7671
-1.2981 1.3926 7.4779

---

# 3
BaSmNO, optimized geometry, DFT PBE; spin magnetization = 0.003 μB per cell; electronic total energy = -0.2238 hartree per atom; excess energy over the best structure of this formula in the dataset = 794 meV per atom
1.0
4.3665 0.0000 0.0000
0.0000 4.3665 0.0000
0.0000 0.0000 8.4053
Ba N O Sm
2 2 2 2
Cartesian
3.2749 1.0916 4.2027
1.0916 3.2749 4.2027
3.2749 3.2749 2.6580
1.0916 1.0916 5.7473
3.2749 1.0916 0.0000
1.0916 3.2749 0.0000
1.0916 1.0916 0.8427
3.2749 3.2749 7.5626

---

# 4
BaSmNO, optimized geometry, DFT PBE; spin magnetization = 0.001 μB per cell; electronic total energy = -0.2508 hartree per atom; excess energy over the best structure of this formula in the dataset = 61 meV per atom
1.0
-3.3728 -0.4019 -2.0298
-1.4748 -5.1004 3.4603
-3.4228 4.2742 4.8412
Ba N O Sm
2 2 2 2
Cartesian
-1.8675 -1.0528 3.3116
-3.7308 -2.1970 6.6343
-2.3796 -3.3730 4.6218
-3.0015 0.8747 4.8143
-2.6624 -1.4471 0.8536
-5.9179 -0.8528 6.1454
-3.6871 -4.6264 3.1857
-5.3130 0.8749 4.7981